Material: Sm3Si8Tc3
Method: DFT, PBE-GGA
State: relaxed

Output
For the total moment, the calculation gives 0.000 μB/f.u. Its total energy is -95.48 eV per formula unit. As for the energy relative to the elements, uncorrected: -0.49 eV/atom.

```
data_Sm3Si8Tc3
_cell_length_a 4.1722
_cell_length_b 9.8309
_cell_length_c 11.8750
_cell_angle_alpha 90.00
_cell_angle_beta 90.00
_cell_angle_gamma 90.00
_symmetry_space_group_name_H-M 'I m m m'
_symmetry_Int_Tables_number 71
_symmetry_space_group_name_Hall '-I 2 2'
loop_
_atom_site_label
_atom_site_type_symbol
_atom_site_fract_x
_atom_site_fract_y
_atom_site_fract_z
Sm1 Sm 0.0000 0.0000 0.0000
Sm2 Sm 0.0000 0.0000 0.3205
Si1 Si 0.0000 0.2903 0.1196
Si2 Si 0.0000 0.3680 0.3315
Tc1 Tc 0.0000 0.2322 0.5000
Tc2 Tc 0.0000 0.5000 0.0000
```